Entry 1:
A relaxed structure of La2ZrCr. Source: the Alexandria database, functional PBE.

Geometry as POSCAR:
```
La2ZrCr
1.0
3.5652 0.0000 0.0000
0.0000 3.5652 0.0000
0.0000 0.0000 8.5586
La Zr Cr
2 1 1
direct
0.0000 0.0000 0.0000 La
0.5000 0.5000 0.3427 La
0.0000 0.0000 0.6175 Zr
0.5000 0.5000 0.7681 Cr
```

Properties
Symmetry ... P4mm, No. 99
Distance to the lowest polymorph of the same formula ... 0.000 eV per atom



Entry 2:
A relaxed structure of Hf2BiIr2. Source: the Alexandria database, functional PBE.

Geometry as POSCAR:
```
Hf2BiIr2
1.0
8.0698 0.0000 0.0000
0.0000 8.0698 0.0000
0.0000 0.0000 3.0951
Hf Bi Ir
4 2 4
direct
0.1479 0.3521 0.0000 Hf
0.3521 0.8521 0.0000 Hf
0.6479 0.1479 0.0000 Hf
0.8521 0.6479 0.0000 Hf
0.0000 0.0000 0.0000 Bi
0.5000 0.5000 0.0000 Bi
0.1361 0.6361 0.5000 Ir
0.3639 0.1361 0.5000 Ir
0.6361 0.8639 0.5000 Ir
0.8639 0.3639 0.5000 Ir
```

Properties
Symmetry ... P4/mbm, No. 127
Distance to the lowest polymorph of the same formula ... 0.192 eV per atom



no.,ρ (kg/m3),M_tot (μB/atom)
1,6427,0.5930
2,15660,0.0000